VASP calculation (PBE) on an optimized crystal structure of Ho8AlSe6.

abc: 3.9867 10.4975 10.4975
angles: 120.00 90.00 90.00
With the nearest neighbours (Å) after each atom.
Element x y z (fractional)
Ho 0.7504 0.9661 0.2778  3 Se 2.80-2.89
Ho 0.7504 0.7222 0.6883  3 Se 2.80-2.89
Ho 0.7504 0.3117 0.0339  3 Se 2.80-2.89
Ho 0.2496 0.0339 0.7222  3 Se 2.80-2.89
Ho 0.2496 0.2778 0.3117  3 Se 2.80-2.89
Ho 0.2496 0.6883 0.9661  3 Se 2.80-2.89
Ho 0.7499 0.3333 0.6667  6 Se 2.85-2.86
Ho 0.2501 0.6667 0.3333  6 Se 2.85-2.86
Al 0.5000 0.0000 0.0000  6 Ho 3.27
Se 0.7475 0.6481 0.1303  5 Ho 2.80-2.89
Se 0.7475 0.8697 0.5178  5 Ho 2.80-2.89
Se 0.7475 0.4822 0.3519  5 Ho 2.80-2.89
Se 0.2525 0.3519 0.8697  5 Ho 2.80-2.89
Se 0.2525 0.1303 0.4822  5 Ho 2.80-2.89
Se 0.2525 0.5178 0.6481  5 Ho 2.80-2.89

Summary:
The space group is P-3 (147). The total energy is -0.392 Ry per atom. The value obtained for the calculated volume is 380.5 Å³/cell. The value obtained for the density of states at the Fermi level is 10.54 states/eV/cell. As for the energy relative to the elements, uncorrected: -1251 meV/atom.



VASP calculation (PBE) on an optimized crystal structure of Ho2AlSe.

abc: 4.0520 4.2686 11.4131
angles: 100.78 90.00 90.00
With the nearest neighbours (Å) after each atom.
Element x y z (fractional)
Ho 0.7500 0.6787 0.3573  5 Se 2.87-2.96, 1 Al 3.13
Ho 0.2500 0.3213 0.6427  5 Se 2.87-2.96, 1 Al 3.13
Ho 0.7500 0.9329 0.8658  1 Se 2.83, 4 Al 3.01
Ho 0.2500 0.0671 0.1342  1 Se 2.83, 4 Al 3.01
Al 0.2500 0.4610 0.9220  2 Al 2.68
Al 0.7500 0.5390 0.0780  2 Al 2.68
Se 0.2500 0.1934 0.3869  6 Ho 2.83-2.96
Se 0.7500 0.8066 0.6131  6 Ho 2.83-2.96

Summary:
The space group is Cmcm (63). The total energy is -0.382 Ry per atom. The value obtained for the calculated volume is 193.9 Å³/cell. The value obtained for the density of states at the Fermi level is 3.29 states/eV/cell. As for the energy relative to the elements, uncorrected: -1107 meV/atom. The calculation puts the polymorph energy (0 for the lowest one) at 0 meV per atom.